w | A plane-wave DFT calculation with PBE was carried out for a relaxed structure of CdAgGe.

Calculated values
The value obtained for the density is 7.37 g cm⁻³.

Lattice parameters (Å, degrees): 6.415 6.415 6.415 90.00 90.00 90.00
Space group F-43m (No. 216)
Inequivalent atoms, fractional coordinates:
1 Cd 0.000 0.000 0.000 x4
2 Ag 0.000 0.000 0.500 x4
3 Ge 0.250 0.250 0.750 x4


x | A plane-wave DFT calculation with PBE was carried out for a relaxed structure of CdAgGe.

Calculated values
The value obtained for the density is 8.13 g cm⁻³.

Lattice parameters (Å, degrees): 4.8335 4.8335 2.9566 90.00 90.00 120.00
Space group P3m1 (No. 156)
Inequivalent atoms, fractional coordinates:
1 Cd 0.0000 0.0000 0.0000 x1
2 Ag 0.3333 0.6667 0.5118 x1
3 Ge 0.6667 0.3333 0.4761 x1


Which of them is most stable? Easy: w.


w | A plane-wave DFT calculation with PBE was carried out for a relaxed structure of CdAg2Ge.

Calculated values
The value obtained for the density is 8.79 g cm⁻³.

Lattice parameters (Å, degrees): 4.260 4.260 4.174 90.00 90.00 90.00
Space group P4/mmm (No. 123)
Inequivalent atoms, fractional coordinates:
1 Cd 0.000 0.000 0.000 x1
2 Ag 0.000 0.500 0.500 x2
3 Ge 0.500 0.500 0.000 x1


x | A plane-wave DFT calculation with PBE was carried out for a relaxed structure of CdAg2Ge.

Calculated values
The value obtained for the density is 7.93 g cm⁻³.

Lattice parameters (Å, degrees): 7.706 7.706 5.655 90.00 90.00 90.00
Space group I-42d (No. 122)
Inequivalent atoms, fractional coordinates:
1 Cd 0.000 0.000 0.000 x4
2 Ag 0.227 0.250 0.625 x8
3 Ge 0.000 0.000 0.500 x4


y | A plane-wave DFT calculation with PBE was carried out for a relaxed structure of CdAg2Ge.

Calculated values
The value obtained for the density is 8.79 g cm⁻³.

Lattice parameters (Å, degrees): 3.477 3.477 6.260 90.00 90.00 90.00
Space group P4/mmm (No. 123)
Inequivalent atoms, fractional coordinates:
1 Cd 0.000 0.000 0.000 x1
2 Ag 0.500 0.500 0.258 x2
3 Ge 0.000 0.000 0.500 x1


Which of them is most stable? Easy: w.


w | A plane-wave DFT calculation with PBE was carried out for a relaxed structure of CdAg2Ge.

Calculated values
The value obtained for the density is 8.65 g cm⁻³.

Lattice parameters (Å, degrees): 6.752 6.752 6.752 90.00 90.00 90.00
Space group Fm-3m (No. 225)
Inequivalent atoms, fractional coordinates:
1 Cd 0.000 0.000 0.000 x4
2 Ag 0.250 0.250 0.250 x8
3 Ge 0.000 0.000 0.500 x4


x | A plane-wave DFT calculation with PBE was carried out for a relaxed structure of CdAg2Ge.

Calculated values
The value obtained for the density is 8.78 g cm⁻³.

Lattice parameters (Å, degrees): 5.365 3.060 9.387 90.00 100.37 90.00
Space group Cm (No. 8)
Inequivalent atoms, fractional coordinates:
1 Cd 0.000 0.000 0.000 x2
2 Ag 0.248 0.000 0.743 x2
3 Ag 0.419 0.000 0.257 x2
4 Ge 0.334 0.500 0.500 x2


y | A plane-wave DFT calculation with PBE was carried out for a relaxed structure of CdAg2Ge.

Calculated values
The value obtained for the density is 8.80 g cm⁻³.

Lattice parameters (Å, degrees): 3.0605 3.0605 27.9819 90.00 90.00 120.00
Space group R-3m (No. 166, hexagonal axes)
Inequivalent atoms, fractional coordinates:
1 Cd 0.0000 0.0000 0.0000 x3
2 Ag 0.0000 0.0000 0.2478 x6
3 Ge 0.0000 0.0000 0.5000 x3


Which of them is most stable? Easy: x.


w | A plane-wave DFT calculation with PBE was carried out for a relaxed structure of CdAg2Ge2.

Calculated values
The value obtained for the density is 7.76 g cm⁻³.

Lattice parameters (Å, degrees): 8.321 8.321 2.926 90.00 90.00 90.00
Space group P4/mbm (No. 127)
Inequivalent atoms, fractional coordinates:
1 Cd 0.000 0.000 0.000 x2
2 Ag 0.169 0.331 0.000 x4
3 Ge 0.128 0.628 0.500 x4


x | A plane-wave DFT calculation with PBE was carried out for a relaxed structure of CdAg2Ge2.

Calculated values
The value obtained for the density is 7.57 g cm⁻³.

Lattice parameters (Å, degrees): 4.243 4.243 11.541 90.00 90.00 90.00
Space group I4/mmm (No. 139)
Inequivalent atoms, fractional coordinates:
1 Cd 0.000 0.000 0.000 x2
2 Ag 0.000 0.500 0.250 x4
3 Ge 0.000 0.000 0.394 x4


y | A plane-wave DFT calculation with PBE was carried out for a relaxed structure of CdAg2Ge2.

Calculated values
The value obtained for the density is 7.80 g cm⁻³.

Lattice parameters (Å, degrees): 8.332 8.332 2.903 90.00 90.00 90.00
Space group P4/mbm (No. 127)
Inequivalent atoms, fractional coordinates:
1 Cd 0.000 0.000 0.000 x2
2 Ag 0.175 0.325 0.500 x4
3 Ge 0.121 0.621 0.000 x4


Which of them is most stable? Easy: w.